Version a
The following is a PBE calculation of crystalline PmSmTh2 at its relaxed geometry, from Alexandria via LeMat-Bulk.

Cell lengths 5.1937, 5.0362, 5.0362 Å; angles 90.00, 90.00, 90.00 degrees
Positions (direct):
Th: 0.0000 0.0000 0.5000
Pm: 0.5000 0.0000 0.0000
Th: 0.0000 0.5000 0.0000
Sm: 0.5000 0.5000 0.5000

Values from the calculation:
Crystal system = tetragonal
Volume = 131.73 Å³/f.u.
Magnetic moment = 0.000 μB/f.u.

Version b
The following is a PBE calculation of crystalline PmSmTh2 at its relaxed geometry, from Alexandria via LeMat-Bulk.

Cell lengths 5.0755, 5.1020, 11.4219 Å; angles 90.00, 116.24, 90.00 degrees
Positions (direct):
Sm: 0.8652 0.7500 0.3656
Sm: 0.1348 0.2500 0.6344
Pm: 0.3652 0.2500 0.3657
Th: 0.1192 0.7500 0.1192
Th: 0.3811 0.7500 0.8812
Th: 0.6189 0.2500 0.1188
Th: 0.8808 0.2500 0.8808
Pm: 0.6348 0.7500 0.6343

Values from the calculation:
Crystal system = monoclinic
Volume = 132.65 Å³/f.u.
Magnetic moment = 0.000 μB/f.u.

Version c
The following is a PBE calculation of crystalline PmSmTh2 at its relaxed geometry, from Alexandria via LeMat-Bulk.

Cell lengths 5.7143, 5.7143, 5.7143 Å; angles 60.00, 60.00, 60.00 degrees
Positions (direct):
Pm: 0.0000 0.0000 0.0000
Th: 0.7500 0.7500 0.7500
Th: 0.2500 0.2500 0.2500
Sm: 0.5000 0.5000 0.5000

Values from the calculation:
Crystal system = cubic
Volume = 131.94 Å³/f.u.
Magnetic moment = 0.000 μB/f.u.

Version d
The following is a PBE calculation of crystalline PmSmTh2 at its relaxed geometry, from Alexandria via LeMat-Bulk.

Cell lengths 3.5161, 3.5161, 12.7039 Å; angles 82.05, 82.05, 60.00 degrees
Positions (direct):
Th: 0.0871 0.0871 0.7388
Sm: 0.0000 0.0000 0.0000
Th: 0.9129 0.9129 0.2612
Pm: 0.5000 0.5000 0.5000

Values from the calculation:
Crystal system = trigonal
Volume = 134.27 Å³/f.u.
Magnetic moment = 0.000 μB/f.u.

Here is how they stack up, most stable first: version b, version a, version c, version d.

Version a
The following is a PBE calculation of crystalline PmSmTh2 at its relaxed geometry, from Alexandria via LeMat-Bulk.

Cell lengths 3.5694, 3.5694, 10.3756 Å; angles 90.00, 90.00, 90.00 degrees
Positions (direct):
Th: 0.0000 0.0000 0.2507
Pm: 0.5000 0.5000 0.0000
Th: 0.0000 0.0000 0.7493
Sm: 0.5000 0.5000 0.5000

Values from the calculation:
Crystal system = tetragonal
Volume = 132.19 Å³/f.u.
Magnetic moment = 0.000 μB/f.u.

Version b
The following is a PBE calculation of crystalline PmSmTh2 at its relaxed geometry, from Alexandria via LeMat-Bulk.

Cell lengths 10.8064, 10.8064, 3.5440 Å; angles 67.05, 67.05, 111.03 degrees
Positions (direct):
Sm: 0.9119 0.0881 0.2500
Th: 0.2569 0.4218 0.8641
Pm: 0.0000 0.5000 0.5000
Sm: 0.0881 0.9119 0.7500
Pm: 0.5000 0.0000 0.0000
Th: 0.5782 0.7431 0.6359
Th: 0.7431 0.5782 0.1359
Th: 0.4218 0.2569 0.3641

Values from the calculation:
Crystal system = monoclinic
Volume = 140.06 Å³/f.u.
Magnetic moment = 0.000 μB/f.u.

Here is how they stack up, most stable first: version a, version b.

Version a
The following is a PBE calculation of crystalline PmSmTh4 at its relaxed geometry, from Alexandria via LeMat-Bulk.

Cell lengths 6.6613, 6.6613, 6.6613 Å; angles 60.00, 60.00, 60.00 degrees
Positions (direct):
Pm: 0.2500 0.2500 0.2500
Th: 0.6251 0.6251 0.6251
Th: 0.6251 0.1248 0.6251
Th: 0.1248 0.6251 0.6251
Sm: 0.0000 0.0000 0.0000
Th: 0.6251 0.6251 0.1248

Values from the calculation:
Crystal system = cubic
Volume = 209.00 Å³/f.u.
Magnetic moment = 0.000 μB/f.u.

Version b
The following is a PBE calculation of crystalline PmSmTh4 at its relaxed geometry, from Alexandria via LeMat-Bulk.

Cell lengths 5.0508, 5.0904, 8.0693 Å; angles 90.00, 108.24, 90.00 degrees
Positions (direct):
Th: 0.8304 0.5000 0.6607
Th: 0.1696 0.5000 0.3393
Pm: 0.5000 0.5000 0.0000
Th: 0.6697 0.0000 0.3394
Th: 0.3303 0.0000 0.6606
Sm: 0.0000 0.0000 0.0000

Values from the calculation:
Crystal system = orthorhombic
Volume = 197.04 Å³/f.u.
Magnetic moment = 0.000 μB/f.u.

Here is how they stack up, most stable first: version b, version a.

Version a
The following is a PBE calculation of crystalline PmSm2Th2 at its relaxed geometry, from Alexandria via LeMat-Bulk.

Cell lengths 3.6109, 3.6109, 14.8793 Å; angles 83.03, 83.03, 60.00 degrees
Positions (direct):
Th: 0.8013 0.8013 0.5960
Sm: 0.4018 0.4018 0.7947
Sm: 0.5982 0.5982 0.2053
Th: 0.1987 0.1987 0.4040
Pm: 0.0000 0.0000 0.0000

Values from the calculation:
Crystal system = trigonal
Volume = 166.36 Å³/f.u.
Magnetic moment = 0.000 μB/f.u.

Version b
The following is a PBE calculation of crystalline PmSm2Th2 at its relaxed geometry, from Alexandria via LeMat-Bulk.

Cell lengths 4.7448, 4.7448, 8.6080 Å; angles 106.00, 106.00, 90.00 degrees
Positions (direct):
Sm: 0.4023 0.4023 0.8046
Th: 0.7500 0.2500 0.5000
Sm: 0.5977 0.5977 0.1954
Th: 0.2500 0.7500 0.5000
Pm: 0.0000 0.0000 0.0000

Values from the calculation:
Crystal system = tetragonal
Volume = 178.47 Å³/f.u.
Magnetic moment = 0.000 μB/f.u.

Here is how they stack up, most stable first: version a, version b.

Version a
The following is a PBE calculation of crystalline Pm8Sm2Th at its relaxed geometry, from Alexandria via LeMat-Bulk.

Cell lengths 5.1456, 8.1499, 9.6326 Å; angles 104.64, 105.49, 90.00 degrees
Positions (direct):
Pm: 0.0445 0.7337 0.0890
Pm: 0.9555 0.2663 0.9110
Pm: 0.5905 0.4510 0.1810
Pm: 0.4095 0.5490 0.8190
Sm: 0.7720 0.3639 0.5441
Th: 0.5000 0.0000 0.0000
Pm: 0.1345 0.1788 0.2689
Pm: 0.6798 0.9088 0.3596
Pm: 0.3202 0.0912 0.6404
Sm: 0.2280 0.6361 0.4559
Pm: 0.8655 0.8212 0.7311

Values from the calculation:
Crystal system = monoclinic
Volume = 375.65 Å³/f.u.
Magnetic moment = 0.000 μB/f.u.

Version b
The following is a PBE calculation of crystalline Pm8Sm2Th at its relaxed geometry, from Alexandria via LeMat-Bulk.

Cell lengths 5.7364, 10.3379, 10.3379 Å; angles 39.33, 94.15, 94.15 degrees
Positions (direct):
Sm: 0.2550 0.7182 0.7182
Pm: 0.2754 0.6106 0.1339
Pm: 0.2305 0.5470 0.5470
Th: 0.0000 0.0000 0.0000
Pm: 0.7246 0.3894 0.8661
Pm: 0.7765 0.8169 0.8169
Pm: 0.7246 0.8661 0.3894
Sm: 0.7450 0.2818 0.2818
Pm: 0.2235 0.1831 0.1831
Pm: 0.2754 0.1339 0.6106
Pm: 0.7695 0.4530 0.4530

Values from the calculation:
Crystal system = monoclinic
Volume = 387.39 Å³/f.u.
Magnetic moment = 0.000 μB/f.u.

Here is how they stack up, most stable first: version a, version b.

Version a
The following is a PBE calculation of crystalline Pm3Sm6Th at its relaxed geometry, from Alexandria via LeMat-Bulk.

Cell lengths 3.5733, 13.3195, 14.5641 Å; angles 100.40, 90.00, 90.00 degrees
Positions (direct):
Sm: 0.2500 0.6559 0.8799
Pm: 0.2500 0.3739 0.4966
Sm: 0.7500 0.8114 0.0806
Sm: 0.2500 0.1886 0.9194
Sm: 0.2500 0.2190 0.2878
Th: 0.2500 0.9607 0.2789
Th: 0.7500 0.0393 0.7211
Pm: 0.7500 0.0739 0.1018
Pm: 0.7500 0.6261 0.5034
Pm: 0.2500 0.5789 0.0975
Sm: 0.7500 0.1198 0.4862
Sm: 0.7500 0.7309 0.3004
Sm: 0.7500 0.7810 0.7122
Sm: 0.7500 0.3441 0.1201
Sm: 0.7500 0.5010 0.6906
Pm: 0.7500 0.4211 0.9025
Sm: 0.2500 0.2691 0.6996
Sm: 0.2500 0.4990 0.3094
Pm: 0.2500 0.9261 0.8982
Sm: 0.2500 0.8802 0.5138

Values from the calculation:
Crystal system = monoclinic
Volume = 340.90 Å³/f.u.
Magnetic moment = 0.000 μB/f.u.

Version b
The following is a PBE calculation of crystalline Pm3Sm6Th at its relaxed geometry, from Alexandria via LeMat-Bulk.

Cell lengths 6.9242, 13.0049, 6.7330 Å; angles 129.68, 120.94, 90.00 degrees
Positions (direct):
Pm: 0.0000 0.0000 0.0000
Sm: 0.6699 0.0086 0.3399
Sm: 0.1691 0.6871 0.8792
Sm: 0.3301 0.9914 0.6601
Pm: 0.1901 0.6588 0.3801
Sm: 0.2900 0.3129 0.1208
Sm: 0.8309 0.3129 0.1208
Sm: 0.7100 0.6871 0.8792
Pm: 0.8099 0.3412 0.6199
Th: 0.5000 0.5000 0.0000

Values from the calculation:
Crystal system = monoclinic
Volume = 347.17 Å³/f.u.
Magnetic moment = 0.000 μB/f.u.

Here is how they stack up, most stable first: version a, version b.

Version a
The following is a PBE calculation of crystalline Pm12Sm5Th2 at its relaxed geometry, from Alexandria via LeMat-Bulk.

Cell lengths 6.7224, 8.9042, 12.0928 Å; angles 113.11, 98.41, 83.33 degrees
Positions (direct):
Pm: 0.9798 0.3708 0.1199
Sm: 0.1972 0.7204 0.2076
Pm: 0.5268 0.9325 0.6345
Pm: 0.6629 0.7180 0.0879
Pm: 0.7719 0.4442 0.5450
Th: 0.7371 0.0139 0.9581
Pm: 0.0560 0.8790 0.7329
Pm: 0.9440 0.1210 0.2671
Pm: 0.3371 0.2820 0.9121
Sm: 0.5135 0.3330 0.2053
Sm: 0.8028 0.2796 0.7924
Sm: 0.4865 0.6670 0.7947
Th: 0.2629 0.9861 0.0419
Pm: 0.2281 0.5558 0.4550
Pm: 0.2833 0.3126 0.6371
Sm: 0.0000 0.0000 0.5000
Pm: 0.7167 0.6874 0.3629
Pm: 0.4732 0.0675 0.3655
Pm: 0.0202 0.6292 0.8801

Values from the calculation:
Crystal system = triclinic
Volume = 657.24 Å³/f.u.
Magnetic moment = 0.000 μB/f.u.

Version b
The following is a PBE calculation of crystalline Pm12Sm5Th2 at its relaxed geometry, from Alexandria via LeMat-Bulk.

Cell lengths 9.4135, 12.5134, 8.8466 Å; angles 132.39, 90.00, 112.09 degrees
Positions (direct):
Pm: 0.0705 0.1410 0.2618
Sm: 0.2330 0.4661 0.9005
Pm: 0.8289 0.2638 0.5766
Pm: 0.4348 0.2638 0.5766
Sm: 0.0000 0.0000 0.5000
Pm: 0.9295 0.8590 0.7382
Sm: 0.7670 0.5339 0.0995
Pm: 0.1711 0.7362 0.4234
Sm: 0.2914 0.5828 0.6228
Pm: 0.3256 0.2932 0.0524
Th: 0.3340 0.0000 0.0000
Pm: 0.0324 0.7068 0.9476
Pm: 0.5652 0.7362 0.4234
Pm: 0.9676 0.2932 0.0524
Th: 0.6660 0.0000 0.0000
Pm: 0.4423 0.8845 0.2256
Sm: 0.7086 0.4172 0.3772
Pm: 0.5577 0.1155 0.7744
Pm: 0.6744 0.7068 0.9476

Values from the calculation:
Crystal system = monoclinic
Volume = 662.42 Å³/f.u.
Magnetic moment = 0.000 μB/f.u.

Here is how they stack up, most stable first: version a, version b.

Version a
The following is a PBE calculation of crystalline Pm4Sm5Th at its relaxed geometry, from Alexandria via LeMat-Bulk.

Cell lengths 3.6422, 7.2639, 13.0957 Å; angles 97.93, 97.99, 90.00 degrees
Positions (direct):
Sm: 0.9026 0.1952 0.8053
Sm: 0.3001 0.4008 0.6003
Th: 0.5000 0.0000 0.0000
Pm: 0.7009 0.1017 0.4018
Pm: 0.2991 0.8983 0.5982
Sm: 0.6999 0.5992 0.3997
Pm: 0.9028 0.7069 0.8055
Pm: 0.0972 0.2931 0.1945
Sm: 0.0974 0.8048 0.1947
Sm: 0.5000 0.5000 0.0000

Values from the calculation:
Crystal system = monoclinic
Volume = 339.75 Å³/f.u.
Magnetic moment = 0.000 μB/f.u.

Version b
The following is a PBE calculation of crystalline Pm4Sm5Th at its relaxed geometry, from Alexandria via LeMat-Bulk.

Cell lengths 4.2794, 4.2794, 18.5118 Å; angles 90.00, 90.00, 90.00 degrees
Positions (direct):
Pm: 0.0000 0.0000 0.1960
Pm: 0.0000 0.0000 0.3996
Pm: 0.0000 0.0000 0.6004
Sm: 0.5000 0.5000 0.3001
Sm: 0.5000 0.5000 0.5000
Sm: 0.5000 0.5000 0.0961
Pm: 0.0000 0.0000 0.8040
Th: 0.0000 0.0000 0.0000
Sm: 0.5000 0.5000 0.6999
Sm: 0.5000 0.5000 0.9039

Values from the calculation:
Crystal system = tetragonal
Volume = 339.02 Å³/f.u.
Magnetic moment = 0.000 μB/f.u.

Here is how they stack up, most stable first: version a, version b.

Version a
The following is a PBE calculation of crystalline Pm7Sm3Th at its relaxed geometry, from Alexandria via LeMat-Bulk.

Cell lengths 8.7654, 7.2201, 7.2201 Å; angles 120.00, 90.00, 90.00 degrees
Positions (direct):
Pm: 0.4512 0.3348 0.1674
Sm: 0.7789 0.4974 0.9947
Pm: 0.1193 0.1696 0.3392
Th: 0.4494 0.3333 0.6667
Pm: 0.4512 0.8326 0.6652
Pm: 0.1193 0.6608 0.8304
Pm: 0.1175 0.6667 0.3333
Pm: 0.4512 0.8326 0.1674
Sm: 0.7789 0.4974 0.5026
Pm: 0.1193 0.1696 0.8304
Sm: 0.7789 0.0053 0.5026

Values from the calculation:
Crystal system = trigonal
Volume = 395.72 Å³/f.u.
Magnetic moment = 0.000 μB/f.u.

Version b
The following is a PBE calculation of crystalline Pm7Sm3Th at its relaxed geometry, from Alexandria via LeMat-Bulk.

Cell lengths 10.0850, 10.0851, 11.3763 Å; angles 90.00, 90.00, 138.75 degrees
Positions (direct):
Sm: 0.2396 0.7520 0.7500
Th: 0.5000 0.5000 0.5000
Sm: 0.7604 0.2480 0.2500
Pm: 0.0954 0.4149 0.5298
Pm: 0.4148 0.0953 0.9702
Pm: 0.1821 0.3553 0.2500
Pm: 0.5852 0.9047 0.4702
Th: 0.5000 0.5000 0.0000
Sm: 0.2480 0.7604 0.2500
Sm: 0.0000 0.0000 0.5000
Pm: 0.3553 0.1822 0.2500
Sm: 0.0000 0.0000 0.0000
Pm: 0.7633 0.7633 0.2500
Pm: 0.2367 0.2367 0.7500
Pm: 0.9046 0.5851 0.0298
Pm: 0.9046 0.5851 0.4702
Pm: 0.8179 0.6447 0.7500
Pm: 0.6447 0.8178 0.7500
Sm: 0.7520 0.2396 0.7500
Pm: 0.5852 0.9047 0.0298
Pm: 0.0954 0.4149 0.9702
Pm: 0.4148 0.0953 0.5298

Values from the calculation:
Crystal system = orthorhombic
Volume = 381.45 Å³/f.u.
Magnetic moment = 0.000 μB/f.u.

Here is how they stack up, most stable first: version b, version a.

Version a
The following is a PBE calculation of crystalline Pm3SmTl at its relaxed geometry, from Alexandria via LeMat-Bulk.

Cell lengths 6.2938, 6.2938, 6.2938 Å; angles 109.61, 109.61, 109.61 degrees
Positions (direct):
Pm: 0.7250 0.2250 0.2250
Pm: 0.2250 0.7250 0.2250
Tl: 0.2250 0.2250 0.2250
Sm: 0.7250 0.7250 0.7250
Pm: 0.2250 0.2250 0.7250

Values from the calculation:
Crystal system = trigonal
Volume = 190.96 Å³/f.u.
Magnetic moment = 1.884 μB/f.u.

Version b
The following is a PBE calculation of crystalline Pm3SmTl at its relaxed geometry, from Alexandria via LeMat-Bulk.

Cell lengths 5.2180, 7.4054, 8.4155 Å; angles 84.80, 90.00, 90.00 degrees
Positions (direct):
Pm: 0.8756 0.3530 0.8978
Pm: 0.8756 0.5332 0.4640
Pm: 0.3757 0.4354 0.1836
Sm: 0.3756 0.2445 0.6007
Tl: 0.3756 0.6194 0.7921
Tl: 0.8757 0.7334 0.1094
Pm: 0.3756 0.9998 0.0037
Sm: 0.8756 0.1082 0.3008
Pm: 0.3756 0.8196 0.4376
Pm: 0.8756 0.9174 0.7179

Values from the calculation:
Crystal system = monoclinic
Volume = 161.92 Å³/f.u.
Magnetic moment = 0.000 μB/f.u.

Here is how they stack up, most stable first: version b, version a.